Here is crystalline CePrNi at its relaxed geometry from Alexandria. Energies are from PBE.

Values from the calculation:
DFT total energy: -16.8 eV/cell
ΔE_f: -0.099 eV per atom

a = 3.5701 Å, b = 3.5701 Å, c = 6.2678 Å
α = 106.55°, β = 106.55°, γ = 90.00°
Fractional positions:
Pr 0.3189 0.3189 0.6378
Ce 0.0373 0.0373 0.0746
Ni 0.6438 0.6438 0.2876